Material: ZrCdNiB
Method: DFT, PBE
State: relaxed

Cell: 6.152 6.152 6.152 Å, 90.00 90.00 90.00°
Space group F-43m (No. 216)
One atom of each set of equivalent atoms:
1 Zr 0.000 0.000 0.000
2 Cd 0.000 0.000 0.500
3 Ni 0.250 0.250 0.750
4 B 0.250 0.250 0.250

Output
* DFT total energy: -0.3869 Ry per atom